(1)
Entry from Alexandria: a relaxed AcCuPbAu crystal (PBE).

Properties
space group	F-43m, No. 216

Cell and atoms, written as CIF:
```
data_AcCuPbAu
_chemical_formula_sum 'Ac1 Cu1 Pb1 Au1'
_cell_length_a 5.221
_cell_length_b 5.221
_cell_length_c 5.221
_cell_angle_alpha 60.00
_cell_angle_beta 60.00
_cell_angle_gamma 60.00
_space_group_name_H-M_alt 'P 1'
_space_group_IT_number 1
loop_
_space_group_symop_operation_xyz
'x,y,z'
loop_
_atom_site_label
_atom_site_type_symbol
_atom_site_fract_x
_atom_site_fract_y
_atom_site_fract_z
_atom_site_occupancy
Au1 Au 0.750 0.750 0.750 1
Cu1 Cu 0.250 0.250 0.250 1
Pb1 Pb 0.500 0.500 0.500 1
Ac1 Ac 0.000 0.000 0.000 1
```

---

(2)
Entry from Alexandria: a relaxed Ac3CuPd6Au2 crystal (PBE).

Properties
space group	P-3m1, No. 164

Cell and atoms, written as CIF:
```
data_Ac3CuPd6Au2
_chemical_formula_sum 'Ac3 Cu1 Pd6 Au2'
_cell_length_a 5.827
_cell_length_b 5.827
_cell_length_c 9.003
_cell_angle_alpha 90.00
_cell_angle_beta 90.00
_cell_angle_gamma 120.00
_space_group_name_H-M_alt 'P 1'
_space_group_IT_number 1
loop_
_space_group_symop_operation_xyz
'x,y,z'
loop_
_atom_site_label
_atom_site_type_symbol
_atom_site_fract_x
_atom_site_fract_y
_atom_site_fract_z
_atom_site_occupancy
Pd1 Pd 0.828 0.657 0.715 1
Pd2 Pd 0.172 0.828 0.285 1
Pd3 Pd 0.657 0.828 0.285 1
Pd4 Pd 0.828 0.172 0.715 1
Au1 Au 0.667 0.333 0.977 1
Cu1 Cu 0.000 0.000 0.500 1
Pd5 Pd 0.172 0.343 0.285 1
Ac1 Ac 0.333 0.667 0.622 1
Au2 Au 0.333 0.667 0.023 1
Ac2 Ac 0.000 0.000 0.000 1
Ac3 Ac 0.667 0.333 0.378 1
Pd6 Pd 0.343 0.172 0.715 1
```

---

(3)
Entry from Alexandria: a relaxed Ac3Cu2Pd9Au crystal (PBE).

Properties
space group	P-3m1, No. 164

Cell and atoms, written as CIF:
```
data_Ac3Cu2Pd9Au
_chemical_formula_sum 'Ac3 Cu2 Pd9 Au1'
_cell_length_a 7.811
_cell_length_b 7.811
_cell_length_c 6.331
_cell_angle_alpha 90.00
_cell_angle_beta 90.00
_cell_angle_gamma 120.00
_space_group_name_H-M_alt 'P 1'
_space_group_IT_number 1
loop_
_space_group_symop_operation_xyz
'x,y,z'
loop_
_atom_site_label
_atom_site_type_symbol
_atom_site_fract_x
_atom_site_fract_y
_atom_site_fract_z
_atom_site_occupancy
Pd1 Pd 0.500 0.000 0.000 1
Au1 Au 0.000 0.000 0.500 1
Ac1 Ac 0.000 0.000 0.000 1
Pd2 Pd 0.825 0.175 0.679 1
Cu1 Cu 0.333 0.667 0.142 1
Pd3 Pd 0.500 0.500 0.000 1
Pd4 Pd 0.175 0.349 0.321 1
Pd5 Pd 0.349 0.175 0.679 1
Pd6 Pd 0.825 0.651 0.679 1
Pd7 Pd 0.175 0.825 0.321 1
Pd8 Pd 0.000 0.500 0.000 1
Ac2 Ac 0.333 0.667 0.659 1
Cu2 Cu 0.667 0.333 0.858 1
Pd9 Pd 0.651 0.825 0.321 1
Ac3 Ac 0.667 0.333 0.341 1
```

---

(4)
Entry from Alexandria: a relaxed AcCuPd3Au crystal (PBE).

Properties
space group	Cmcm, No. 63

Cell and atoms, written as CIF:
```
data_AcCuPd3Au
_chemical_formula_sum 'Ac2 Cu2 Pd6 Au2'
_cell_length_a 5.811
_cell_length_b 5.799
_cell_length_c 7.689
_cell_angle_alpha 112.15
_cell_angle_beta 90.00
_cell_angle_gamma 90.00
_space_group_name_H-M_alt 'P 1'
_space_group_IT_number 1
loop_
_space_group_symop_operation_xyz
'x,y,z'
loop_
_atom_site_label
_atom_site_type_symbol
_atom_site_fract_x
_atom_site_fract_y
_atom_site_fract_z
_atom_site_occupancy
Pd1 Pd 0.250 0.165 0.330 1
Cu1 Cu 0.750 0.623 0.245 1
Ac1 Ac 0.750 0.332 0.664 1
Ac2 Ac 0.250 0.668 0.336 1
Au1 Au 0.250 0.874 0.747 1
Pd2 Pd 0.000 0.255 0.000 1
Pd3 Pd 0.750 0.835 0.670 1
Pd4 Pd 0.500 0.255 0.000 1
Au2 Au 0.750 0.126 0.253 1
Cu2 Cu 0.250 0.377 0.755 1
Pd5 Pd 0.500 0.745 0.000 1
Pd6 Pd 0.000 0.745 0.000 1
```

---

(5)
Entry from Alexandria: a relaxed AcCuPdAu crystal (PBE).

Properties
space group	F-43m, No. 216

Cell and atoms, written as CIF:
```
data_AcCuPdAu
_chemical_formula_sum 'Ac1 Cu1 Pd1 Au1'
_cell_length_a 4.971
_cell_length_b 4.971
_cell_length_c 4.971
_cell_angle_alpha 60.00
_cell_angle_beta 60.00
_cell_angle_gamma 60.00
_space_group_name_H-M_alt 'P 1'
_space_group_IT_number 1
loop_
_space_group_symop_operation_xyz
'x,y,z'
loop_
_atom_site_label
_atom_site_type_symbol
_atom_site_fract_x
_atom_site_fract_y
_atom_site_fract_z
_atom_site_occupancy
Ac1 Ac 0.750 0.750 0.750 1
Pd1 Pd 0.500 0.500 0.500 1
Cu1 Cu 0.000 0.000 0.000 1
Au1 Au 0.250 0.250 0.250 1
```

---

(6)
Entry from Alexandria: a relaxed AcCuPdAu6 crystal (PBE).

Properties
space group	Imma, No. 74

Cell and atoms, written as CIF:
```
data_AcCuPdAu6
_chemical_formula_sum 'Ac2 Cu2 Pd2 Au12'
_cell_length_a 8.395
_cell_length_b 8.702
_cell_length_c 8.495
_cell_angle_alpha 120.81
_cell_angle_beta 119.61
_cell_angle_gamma 90.00
_space_group_name_H-M_alt 'P 1'
_space_group_IT_number 1
loop_
_space_group_symop_operation_xyz
'x,y,z'
loop_
_atom_site_label
_atom_site_type_symbol
_atom_site_fract_x
_atom_site_fract_y
_atom_site_fract_z
_atom_site_occupancy
Au1 Au 0.386 0.623 0.252 1
Au2 Au 0.867 0.623 0.252 1
Au3 Au 0.386 0.129 0.252 1
Au4 Au 0.884 0.134 0.768 1
Au5 Au 0.133 0.871 0.748 1
Au6 Au 0.607 0.357 0.214 1
Au7 Au 0.133 0.377 0.748 1
Au8 Au 0.867 0.129 0.252 1
Au9 Au 0.116 0.866 0.232 1
Cu1 Cu 0.500 0.500 0.000 1
Au10 Au 0.614 0.871 0.748 1
Cu2 Cu 0.500 0.000 0.000 1
Pd1 Pd 0.500 0.000 0.500 1
Ac1 Ac 0.137 0.387 0.274 1
Au11 Au 0.393 0.643 0.786 1
Pd2 Pd 0.000 0.000 0.500 1
Au12 Au 0.614 0.377 0.748 1
Ac2 Ac 0.863 0.613 0.726 1
```

---

(7)
Entry from Alexandria: a relaxed Ac2CuPd3Au12 crystal (PBE).

Properties
space group	R-3m, No. 166

Cell and atoms, written as CIF:
```
data_Ac2CuPd3Au12
_chemical_formula_sum 'Ac2 Cu1 Pd3 Au12'
_cell_length_a 8.635
_cell_length_b 8.635
_cell_length_c 8.635
_cell_angle_alpha 60.32
_cell_angle_beta 60.32
_cell_angle_gamma 60.32
_space_group_name_H-M_alt 'P 1'
_space_group_IT_number 1
loop_
_space_group_symop_operation_xyz
'x,y,z'
loop_
_atom_site_label
_atom_site_type_symbol
_atom_site_fract_x
_atom_site_fract_y
_atom_site_fract_z
_atom_site_occupancy
Ac1 Ac 0.626 0.626 0.626 1
Cu1 Cu 0.000 0.000 0.000 1
Ac2 Ac 0.374 0.374 0.374 1
Pd1 Pd 0.000 0.000 0.500 1
Au1 Au 0.369 0.369 0.953 1
Au2 Au 0.953 0.369 0.369 1
Au3 Au 0.881 0.881 0.352 1
Au4 Au 0.881 0.352 0.881 1
Au5 Au 0.119 0.119 0.648 1
Au6 Au 0.119 0.648 0.119 1
Au7 Au 0.648 0.119 0.119 1
Au8 Au 0.369 0.953 0.369 1
Au9 Au 0.047 0.631 0.631 1
Au10 Au 0.631 0.631 0.047 1
Pd2 Pd 0.000 0.500 0.000 1
Pd3 Pd 0.500 0.000 0.000 1
Au11 Au 0.352 0.881 0.881 1
Au12 Au 0.631 0.047 0.631 1
```

---

(8)
Entry from Alexandria: a relaxed Ac3CuPd9Au2 crystal (PBE).

Properties
space group	P-3m1, No. 164

Cell and atoms, written as CIF:
```
data_Ac3CuPd9Au2
_chemical_formula_sum 'Ac3 Cu1 Pd9 Au2'
_cell_length_a 8.038
_cell_length_b 8.038
_cell_length_c 6.261
_cell_angle_alpha 90.00
_cell_angle_beta 90.00
_cell_angle_gamma 120.00
_space_group_name_H-M_alt 'P 1'
_space_group_IT_number 1
loop_
_space_group_symop_operation_xyz
'x,y,z'
loop_
_atom_site_label
_atom_site_type_symbol
_atom_site_fract_x
_atom_site_fract_y
_atom_site_fract_z
_atom_site_occupancy
Ac1 Ac 0.000 0.000 0.000 1
Pd1 Pd 0.841 0.159 0.657 1
Pd2 Pd 0.500 0.500 0.000 1
Pd3 Pd 0.318 0.159 0.657 1
Pd4 Pd 0.682 0.841 0.343 1
Au1 Au 0.333 0.667 0.190 1
Ac2 Ac 0.333 0.667 0.679 1
Pd5 Pd 0.000 0.500 0.000 1
Au2 Au 0.667 0.333 0.810 1
Pd6 Pd 0.841 0.682 0.657 1
Pd7 Pd 0.159 0.318 0.343 1
Cu1 Cu 0.000 0.000 0.500 1
Ac3 Ac 0.667 0.333 0.321 1
Pd8 Pd 0.159 0.841 0.343 1
Pd9 Pd 0.500 0.000 0.000 1
```

---

Final energy, respectively: -4.17, -5.18, -5.03, -4.84, -4.52, -3.71, -3.78, -4.94 eV/atom.
Energy relative to the elements, respectively: -372, -672, -327, -325, -352, -35, -41, -292 meV per atom.
Theoretical density, respectively: 11.46, 11.15, 9.74, 11.17, 11.35, 12.03, 11.59, 9.94 g/cm³.